Compound: Pu3MgN
Source: the Alexandria database
Functional: PBE
Structure: relaxed

Computed properties:
- Formation energy without anion corrections: -0.317 eV/atom
- DOS(E_F): 17.5 states/eV/cell
- V: 115.54 Å³ per cell

Lattice parameters (Å, degrees): 4.8705 4.8705 4.8705 90.00 90.00 90.00
With the nearest neighbours (Å) after each atom.
Space group Pm-3m (No. 221)
Asymmetric unit:
Pu 0.0000 0.0000 0.5000 (multiplicity 3)  2 N 2.44
Mg 0.5000 0.5000 0.5000 (multiplicity 1)  12 Pu 3.44
N 0.0000 0.0000 0.0000 (multiplicity 1)  6 Pu 2.44

Compound: ErPuHf
Source: the Alexandria database
Functional: PBE
Structure: relaxed

Computed properties:
- DOS(E_F): 9.1 states/eV/cell
- ΔE_f: 205 meV per atom
- Energy above the most stable polymorph in this dataset: 54 meV per atom
- V: 76.02 Å³ per cell

Lattice parameters (Å, degrees): 5.2642 5.2642 3.1678 90.00 90.00 120.00
With the nearest neighbours (Å) after each atom.
Space group P-6m2 (No. 187)
Asymmetric unit:
Er 0.0000 0.0000 0.0000 (multiplicity 1)  2 Er 3.17, 6 Hf 3.43, 6 Pu 3.43
Pu 0.6667 0.3333 0.5000 (multiplicity 1)  3 Hf 3.04, 2 Pu 3.17
Hf 0.3333 0.6667 0.5000 (multiplicity 1)  3 Pu 3.04, 2 Hf 3.17

Question: Which of these has the highest DOS(E_F)?
Answer: Pu3MgN